1.
Below is crystalline Pr3Y2Tm at its relaxed geometry, with properties calculated at the PBE level. Values from VASP.

```
&SYSTEM
  ibrav = 0, nat = 12, ntyp = 3
/
ATOMIC_SPECIES
Pr 140.91 Pr.upf
Y 88.91 Y.upf
Tm 168.93 Tm.upf
CELL_PARAMETERS angstrom
-2.946 5.141 0.024
2.160 1.272 -7.301
-6.925 -7.387 0.745
ATOMIC_POSITIONS crystal
Pr 0.161 0.911 0.322
Pr 0.839 0.089 0.678
Pr 0.500 0.250 0.000
Pr 0.161 0.411 0.322
Pr 0.839 0.589 0.678
Pr 0.500 0.750 0.000
Y 0.330 0.830 0.659
Y 0.670 0.170 0.341
Y 0.330 0.330 0.659
Y 0.670 0.670 0.341
Tm 0.000 0.000 0.000
Tm 0.000 0.500 0.000
```

Values from the calculation:
* formation energy: 1.88 kcal/mol of atoms
* excess energy over the best structure of this formula in the dataset: 72 meV/atom
* SG: Cmmm (65)
* magnetic moment: 0.000 μB/atom
* total DFT energy (no corrections): -5.208 eV per atom


2.
Below is crystalline Pr7YTm3 at its relaxed geometry, with properties calculated at the PBE level. Values from VASP.

```
&SYSTEM
  ibrav = 0, nat = 22, ntyp = 3
/
ATOMIC_SPECIES
Tm 168.93 Tm.upf
Pr 140.91 Pr.upf
Y 88.91 Y.upf
CELL_PARAMETERS angstrom
-4.767 -9.147 -0.734
8.389 4.771 -3.717
2.253 -7.957 9.652
ATOMIC_POSITIONS crystal
Tm 0.333 0.677 0.274
Tm 0.000 0.000 0.000
Tm 0.000 0.000 0.500
Tm 0.323 0.667 0.774
Tm 0.677 0.333 0.226
Tm 0.667 0.323 0.726
Pr 0.087 0.420 0.526
Pr 0.421 0.085 0.472
Pr 0.164 0.851 0.229
Pr 0.915 0.579 0.972
Pr 0.580 0.914 0.026
Pr 0.148 0.836 0.729
Pr 0.851 0.164 0.271
Pr 0.706 0.706 0.250
Pr 0.913 0.580 0.474
Pr 0.579 0.915 0.528
Pr 0.294 0.294 0.750
Pr 0.420 0.086 0.974
Pr 0.085 0.421 0.028
Pr 0.836 0.149 0.771
Y 0.500 0.500 0.000
Y 0.500 0.500 0.500
```

Values from the calculation:
* formation energy: 4.23 kcal/mol of atoms
* excess energy over the best structure of this formula in the dataset: 0 meV/atom
* SG: C2/c (15)
* magnetic moment: 0.000 μB/atom
* total DFT energy (no corrections): -4.665 eV per atom


3.
Below is crystalline PrYTm2 at its relaxed geometry, with properties calculated at the PBE level. Values from VASP.

```
&SYSTEM
  ibrav = 0, nat = 4, ntyp = 3
/
ATOMIC_SPECIES
Y 88.91 Y.upf
Tm 168.93 Tm.upf
Pr 140.91 Pr.upf
CELL_PARAMETERS angstrom
-4.097 -0.306 -0.316
0.438 -3.130 -2.644
-0.082 -4.951 5.848
ATOMIC_POSITIONS crystal
Y 0.500 0.500 0.500
Tm 0.000 0.000 0.742
Tm 0.000 0.000 0.258
Pr 0.500 0.500 0.000
```

Values from the calculation:
* formation energy: 2.41 kcal/mol of atoms
* excess energy over the best structure of this formula in the dataset: 97 meV/atom
* SG: P4/mmm (123)
* magnetic moment: 0.000 μB/atom
* total DFT energy (no corrections): -4.942 eV per atom


4.
Below is crystalline Pr5Y3Tm at its relaxed geometry, with properties calculated at the PBE level. Values from VASP.

```
&SYSTEM
  ibrav = 0, nat = 18, ntyp = 3
/
ATOMIC_SPECIES
Pr 140.91 Pr.upf
Y 88.91 Y.upf
Tm 168.93 Tm.upf
CELL_PARAMETERS angstrom
6.348 0.000 0.000
-3.174 9.613 -4.549
0.000 -2.330 11.603
ATOMIC_POSITIONS crystal
Pr 0.465 0.277 0.615
Pr 0.589 0.000 0.250
Pr 0.001 0.641 0.473
Pr 0.411 0.000 0.750
Pr 0.360 0.359 0.027
Pr 0.188 0.723 0.885
Pr 0.535 0.723 0.385
Pr 0.999 0.359 0.527
Pr 0.640 0.641 0.973
Pr 0.812 0.277 0.115
Y 0.051 0.651 0.175
Y 0.949 0.349 0.825
Y 0.000 0.000 0.000
Y 0.400 0.349 0.325
Y 0.600 0.651 0.675
Y 0.000 0.000 0.500
Tm 0.098 0.000 0.250
Tm 0.902 0.000 0.750
```

Values from the calculation:
* formation energy: 6.05 kcal/mol of atoms
* excess energy over the best structure of this formula in the dataset: 0 meV/atom
* SG: C2/c (15)
* magnetic moment: 0.000 μB/atom
* total DFT energy (no corrections): -5.045 eV per atom


5.
Below is crystalline Pr2Y2Tm3 at its relaxed geometry, with properties calculated at the PBE level. Values from VASP.

```
&SYSTEM
  ibrav = 0, nat = 14, ntyp = 3
/
ATOMIC_SPECIES
Y 88.91 Y.upf
Pr 140.91 Pr.upf
Tm 168.93 Tm.upf
CELL_PARAMETERS angstrom
-7.913 2.471 1.634
2.503 -5.513 5.893
5.121 6.720 0.073
ATOMIC_POSITIONS crystal
Y 0.000 0.000 0.414
Y 0.914 0.500 0.000
Y 0.500 0.414 0.500
Y 0.586 0.086 0.086
Pr 0.500 0.815 0.500
Pr 0.000 0.000 0.815
Pr 0.185 0.685 0.685
Pr 0.315 0.500 0.000
Tm 0.750 0.555 0.305
Tm 0.055 0.305 0.250
Tm 0.250 0.945 0.195
Tm 0.805 0.250 0.555
Tm 0.445 0.195 0.750
Tm 0.695 0.750 0.945
```

Values from the calculation:
* formation energy: 5.07 kcal/mol of atoms
* excess energy over the best structure of this formula in the dataset: 0 meV/atom
* SG: I2_13 (199)
* magnetic moment: 0.000 μB/atom
* total DFT energy (no corrections): -4.909 eV per atom


6.
Below is crystalline Pr2Y2Tm5 at its relaxed geometry, with properties calculated at the PBE level. Values from VASP.

```
&SYSTEM
  ibrav = 0, nat = 9, ntyp = 3
/
ATOMIC_SPECIES
Pr 140.91 Pr.upf
Tm 168.93 Tm.upf
Y 88.91 Y.upf
CELL_PARAMETERS angstrom
3.408 0.000 -0.703
-0.486 7.866 -2.354
0.722 -2.994 12.115
ATOMIC_POSITIONS crystal
Pr 0.818 0.778 0.635
Pr 0.182 0.222 0.365
Tm 0.000 0.000 0.000
Tm 0.691 0.852 0.382
Tm 0.903 0.539 0.806
Tm 0.097 0.461 0.194
Tm 0.309 0.148 0.618
Y 0.547 0.738 0.093
Y 0.453 0.262 0.907
```

Values from the calculation:
* formation energy: 5.26 kcal/mol of atoms
* excess energy over the best structure of this formula in the dataset: 21 meV/atom
* SG: C2/m (12)
* magnetic moment: 0.000 μB/atom
* total DFT energy (no corrections): -4.755 eV per atom


7.
Below is crystalline PrY3Tm6 at its relaxed geometry, with properties calculated at the PBE level. Values from VASP.

```
&SYSTEM
  ibrav = 0, nat = 20, ntyp = 3
/
ATOMIC_SPECIES
Tm 168.93 Tm.upf
Pr 140.91 Pr.upf
Y 88.91 Y.upf
CELL_PARAMETERS angstrom
6.144 0.000 0.000
0.000 10.792 -1.572
0.000 -3.941 10.169
ATOMIC_POSITIONS crystal
Tm 0.524 0.286 0.383
Tm 0.024 0.383 0.286
Tm 0.365 0.033 0.456
Tm 0.365 0.544 0.967
Tm 0.524 0.617 0.714
Tm 0.922 0.048 0.952
Tm 0.137 0.712 0.288
Tm 0.422 0.952 0.048
Tm 0.637 0.288 0.712
Tm 0.024 0.714 0.617
Tm 0.865 0.967 0.544
Tm 0.865 0.456 0.033
Pr 0.661 0.791 0.209
Pr 0.161 0.209 0.791
Y 0.960 0.067 0.282
Y 0.460 0.282 0.067
Y 0.569 0.608 0.392
Y 0.960 0.718 0.933
Y 0.460 0.933 0.718
Y 0.069 0.392 0.608
```

Values from the calculation:
* formation energy: 3.32 kcal/mol of atoms
* excess energy over the best structure of this formula in the dataset: 0 meV/atom
* SG: Cmc2_1 (36)
* magnetic moment: 0.000 μB/atom
* total DFT energy (no corrections): -4.956 eV per atom


8.
Below is crystalline Pr7YTm2 at its relaxed geometry, with properties calculated at the PBE level. Values from VASP.

```
&SYSTEM
  ibrav = 0, nat = 10, ntyp = 3
/
ATOMIC_SPECIES
Tm 168.93 Tm.upf
Y 88.91 Y.upf
Pr 140.91 Pr.upf
CELL_PARAMETERS angstrom
5.745 0.000 0.000
0.000 9.342 -0.478
0.000 -4.641 8.121
ATOMIC_POSITIONS crystal
Tm 0.500 0.705 0.295
Tm 0.500 0.295 0.705
Y 0.000 0.000 0.000
Pr 0.000 0.225 0.775
Pr 0.500 0.705 0.935
Pr 0.500 0.295 0.065
Pr 0.500 0.935 0.705
Pr 0.500 0.065 0.295
Pr 0.500 0.500 0.500
Pr 0.000 0.775 0.225
```

Values from the calculation:
* formation energy: 14.41 kcal/mol of atoms
* SG: Cmmm (65)
* magnetic moment: 0.000 μB/atom
* total DFT energy (no corrections): -4.261 eV per atom


Question: formation energy of number 3 (PrYTm2)?
Answer: 2.41 kcal/mol of atoms